Material: NbZnRhAu
Method: DFT, GGA-PBE
State: optimized geometry

Energy of formation   -1.34 eV per formula unit
Theoretical density   11.9 g/cm3
Final energy   -23.3 eV/cell
Total magnetic moment   0.00 Bohr magnetons per cell

a b c (Å): 2.940 2.940 7.383
angles (deg): 90.00 90.00 90.00
Positions (direct):
1 Nb 0.500 0.500 0.802
2 Zn 0.500 0.500 0.338
3 Rh 0.000 0.000 0.557
4 Au 0.000 0.000 0.087

---

Material: TlZnSn
Method: DFT, GGA-PBE
State: optimized geometry

Energy above the lowest structure with this stoichiometry   65 meV per atom
Energy of formation   0.40 eV per formula unit
Theoretical density   8.1 g/cm3
Final energy   -7.2 eV/cell
Total magnetic moment   0.00 Bohr magnetons per cell

a b c (Å): 4.831 4.831 4.831
angles (deg): 60.00 60.00 60.00
Positions (direct):
1 Tl 0.000 0.000 0.000
2 Zn 0.250 0.250 0.250
3 Sn 0.500 0.500 0.500

---

Material: Ba6PAu2N
Method: DFT, GGA-PBE
State: optimized geometry

Theoretical density   5.6 g/cm3
Final energy   -75.2 eV/cell
Total magnetic moment   0.00 Bohr magnetons per cell

a b c (Å): 7.784 8.498 11.271
angles (deg): 90.00 87.83 90.00
Positions (direct):
1 P 0.500 0.000 0.000
2 N 0.500 0.000 0.500
3 Au 0.461 0.409 0.245
4 Ba 0.620 0.037 0.266
5 Ba 0.169 0.205 0.062
6 Ba 0.831 0.795 0.938
7 Ba 0.880 0.537 0.234
8 P 0.000 0.500 0.500
9 Au 0.539 0.591 0.755
10 Ba 0.203 0.177 0.447
11 N 0.000 0.500 0.000
12 Au 0.039 0.909 0.255
13 Ba 0.703 0.323 0.947
14 Au 0.961 0.091 0.745
15 Ba 0.297 0.677 0.053
16 Ba 0.669 0.295 0.562
17 Ba 0.797 0.823 0.553
18 Ba 0.380 0.963 0.734
19 Ba 0.120 0.463 0.766
20 Ba 0.331 0.705 0.438

---

Material: Li2Nd2Ni15
Method: DFT, GGA-PBE
State: optimized geometry

Energy of formation   -3.75 eV per formula unit
Theoretical density   7.9 g/cm3
Final energy   -103.8 eV/cell
Total magnetic moment   5.08 Bohr magnetons per cell

a b c (Å): 6.319 6.319 6.319
angles (deg): 83.45 83.45 83.45
Site moments in Bohr magnetons follow the coordinates.
Positions (direct):
1 Ni 0.000 0.300 0.700  0.39
2 Ni 0.000 0.000 0.500  0.40
3 Ni 0.342 0.342 0.843  0.37
4 Ni 0.342 0.843 0.342  0.37
5 Ni 0.700 0.300 0.000  0.39
6 Li 0.907 0.907 0.907  -0.01
7 Ni 0.500 0.000 0.000  0.40
8 Ni 0.658 0.658 0.157  0.37
9 Ni 0.700 0.000 0.300  0.39
10 Ni 0.843 0.342 0.342  0.37
11 Ni 0.157 0.658 0.658  0.37
12 Nd 0.658 0.658 0.658  -0.06
13 Ni 0.300 0.000 0.700  0.39
14 Li 0.093 0.093 0.093  -0.01
15 Nd 0.342 0.342 0.342  -0.06
16 Ni 0.658 0.157 0.658  0.37
17 Ni 0.300 0.700 0.000  0.39
18 Ni 0.000 0.500 0.000  0.40
19 Ni 0.000 0.700 0.300  0.39

---

Material: Rb2HPdAu
Method: DFT, GGA-PBE
State: optimized geometry

Theoretical density   5.9 g/cm3
Final energy   -14.6 eV/cell
Total magnetic moment   0.00 Bohr magnetons per cell

a b c (Å): 6.169 6.169 3.544
angles (deg): 90.00 90.00 90.00
Positions (direct):
1 Rb 0.500 0.000 0.000
2 Pd 0.000 0.000 0.500
3 Rb 0.000 0.500 0.000
4 Au 0.500 0.500 0.500
5 H 0.000 0.000 0.000

---

Material: TbCe3Nd3S8
Method: DFT, GGA-PBE
State: optimized geometry

Theoretical density   5.6 g/cm3
Final energy   -100.5 eV/cell
Total magnetic moment   3.05 Bohr magnetons per cell

a b c (Å): 8.080 8.079 8.079
angles (deg): 120.00 90.00 120.00
Site moments in Bohr magnetons follow the coordinates.
Positions (direct):
1 S 0.246 0.002 0.258  -0.01
2 Nd 0.000 0.500 0.000  0.02
3 Ce 0.500 0.500 0.500  0.79
4 S 0.749 0.498 0.747  -0.01
5 S 0.756 0.002 0.258  -0.01
6 S 0.756 0.511 0.258  -0.01
7 S 0.244 0.998 0.742  -0.01
8 Nd 0.000 0.000 0.000  0.02
9 S 0.251 0.502 0.253  -0.01
10 Ce 0.500 0.000 0.500  0.79
11 S 0.754 0.998 0.742  -0.01
12 Nd 0.500 0.500 0.000  0.02
13 S 0.244 0.489 0.742  -0.01
14 Ce 0.000 0.500 0.500  0.79
15 Tb 0.000 0.000 0.500  0.07

---

Material: Ta2InSi
Method: DFT, GGA-PBE
State: optimized geometry

Theoretical density   11.8 g/cm3
Final energy   -31.3 eV/cell
Total magnetic moment   0.00 Bohr magnetons per cell

a b c (Å): 5.330 5.330 5.330
angles (deg): 141.36 130.29 64.67
Positions (direct):
1 Si 0.236 0.736 0.500
2 Ta 0.014 0.014 0.000
3 Ta 0.759 0.259 0.500
4 In 0.491 0.491 0.000

---

Material: Ce2Ho5Tm4
Method: DFT, GGA-PBE
State: optimized geometry

Energy above the lowest structure with this stoichiometry   0 meV per atom
Energy of formation   0.84 eV per formula unit
Theoretical density   8.8 g/cm3
Final energy   -51.8 eV/cell
Total magnetic moment   1.35 Bohr magnetons per cell

a b c (Å): 3.468 11.146 8.689
angles (deg): 91.58 90.82 88.94
Site moments in Bohr magnetons follow the coordinates.
Positions (direct):
1 Ho 0.225 0.084 0.358  0.02
2 Ce 0.755 0.365 0.455  0.56
3 Tm 0.792 0.262 0.082  0.00
4 Ho 0.745 0.477 0.821  -0.01
5 Ce 0.245 0.635 0.545  0.56
6 Tm 0.208 0.738 0.918  0.00
7 Ho 0.255 0.523 0.179  -0.01
8 Tm 0.260 0.205 0.732  -0.01
9 Tm 0.740 0.795 0.268  -0.01
10 Ho 0.775 0.916 0.642  0.02
11 Ho 0.500 0.000 0.000  -0.03

---

Material: KRbBe2
Method: DFT, GGA-PBE
State: optimized geometry

Energy above the lowest structure with this stoichiometry   0 meV per atom
Energy of formation   1.87 eV per formula unit
Theoretical density   1.5 g/cm3
Final energy   -15.3 eV/cell
Total magnetic moment   0.47 Bohr magnetons per cell

a b c (Å): 4.346 6.348 11.555
angles (deg): 100.44 91.93 91.57
Site moments in Bohr magnetons follow the coordinates.
Positions (direct):
1 K 0.549 0.400 0.330  0.00
2 Be 0.688 0.120 0.542  0.05
3 Rb 0.041 0.664 0.633  0.00
4 Rb 0.049 0.824 0.110  0.00
5 Be 0.918 0.935 0.405  0.05
6 K 0.534 0.233 0.827  0.00
7 Be 0.418 0.929 0.406  0.05
8 Be 0.189 0.127 0.540  0.05

---

Material: Rb5MgCl8
Method: DFT, GGA-PBE
State: optimized geometry

Theoretical density   2.5 g/cm3
Final energy   -44.8 eV/cell
Total magnetic moment   1.22 Bohr magnetons per cell

a b c (Å): 8.629 8.629 8.629
angles (deg): 112.98 102.67 112.98
Site moments in Bohr magnetons follow the coordinates.
Positions (direct):
1 Rb 0.017 0.398 0.141  0.00
2 Cl 0.106 0.779 0.516  0.14
3 Cl 0.673 0.410 0.894  0.14
4 Rb 0.381 0.124 0.983  0.00
5 Rb 0.743 0.602 0.619  0.00
6 Cl 0.132 0.680 0.926  0.08
7 Mg 0.250 0.500 0.750  0.00
8 Cl 0.737 0.221 0.327  0.14
9 Cl 0.484 0.590 0.263  0.14
10 Cl 0.247 0.320 0.452  0.08
11 Rb 0.500 0.000 0.500  0.00
12 Rb 0.859 0.876 0.257  0.00
13 Cl 0.074 0.205 0.753  0.08
14 Cl 0.548 0.795 0.868  0.08

---

Material: Na2Au2Se
Method: DFT, GGA-PBE
State: optimized geometry

Energy above the lowest structure with this stoichiometry   0 meV per atom
Theoretical density   7.1 g/cm3
Final energy   -14.8 eV/cell
Total magnetic moment   0.00 Bohr magnetons per cell

a b c (Å): 3.804 3.804 8.768
angles (deg): 77.47 77.47 90.00
Positions (direct):
1 Au 0.750 0.250 0.500
2 Na 0.592 0.592 0.815
3 Au 0.250 0.750 0.500
4 Na 0.408 0.408 0.185
5 Se 0.000 0.000 0.000

---

Material: Na5SmPb6
Method: DFT, GGA-PBE
State: optimized geometry

Energy of formation   -2.27 eV per formula unit
Theoretical density   7.3 g/cm3
Final energy   -35.8 eV/cell
Total magnetic moment   0.00 Bohr magnetons per cell

a b c (Å): 4.894 9.676 7.699
angles (deg): 90.00 71.17 90.00
Positions (direct):
1 Na 0.325 0.000 0.352
2 Na 0.675 0.000 0.648
3 Pb 0.164 0.751 0.669
4 Pb 0.836 0.751 0.331
5 Pb 0.836 0.249 0.331
6 Na 0.000 0.500 0.000
7 Sm 0.000 0.000 0.000
8 Pb 0.500 0.241 0.000
9 Na 0.333 0.500 0.335
10 Pb 0.500 0.759 0.000
11 Pb 0.164 0.249 0.669
12 Na 0.667 0.500 0.665

---

Material: CaTl2Re
Method: DFT, GGA-PBE
State: optimized geometry

Energy above the lowest structure with this stoichiometry   36 meV per atom
Energy of formation   2.26 eV per formula unit
Theoretical density   11.9 g/cm3
Final energy   -16.9 eV/cell
Total magnetic moment   0.00 Bohr magnetons per cell

a b c (Å): 3.098 4.310 6.640
angles (deg): 90.00 90.00 90.00
Positions (direct):
1 Ca 0.500 0.500 0.250
2 Tl 0.000 0.000 0.974
3 Re 0.500 0.500 0.750
4 Tl 0.000 0.000 0.526

---

Material: Mn3SiNi12
Method: DFT, GGA-PBE
State: optimized geometry

Theoretical density   8.3 g/cm3
Final energy   -105.3 eV/cell
Total magnetic moment   15.01 Bohr magnetons per cell

a b c (Å): 3.557 3.557 14.167
angles (deg): 90.00 90.00 90.00
Site moments in Bohr magnetons follow the coordinates.
Positions (direct):
1 Ni 0.000 0.500 0.120  0.31
2 Ni 0.500 0.500 0.754  0.51
3 Ni 0.500 0.500 0.500  0.63
4 Mn 0.000 0.000 0.247  3.26
5 Ni 0.500 0.000 0.120  0.31
6 Ni 0.000 0.500 0.374  0.60
7 Si 0.000 0.000 0.000  -0.01
8 Ni 0.500 0.500 0.246  0.51
9 Ni 0.500 0.500 0.000  0.22
10 Ni 0.500 0.000 0.626  0.60
11 Ni 0.500 0.000 0.374  0.60
12 Mn 0.000 0.000 0.500  3.23
13 Ni 0.000 0.500 0.626  0.60
14 Mn 0.000 0.000 0.753  3.26
15 Ni 0.500 0.000 0.880  0.31
16 Ni 0.000 0.500 0.880  0.31

---

Material: La3CdIn
Method: DFT, GGA-PBE
State: optimized geometry

Energy above the lowest structure with this stoichiometry   604 meV per atom
Energy of formation   1.39 eV per formula unit
Theoretical density   5.2 g/cm3
Final energy   -17.0 eV/cell
Total magnetic moment   0.00 Bohr magnetons per cell

a b c (Å): 5.909 5.909 5.909
angles (deg): 90.00 90.00 90.00
Positions (direct):
1 La 0.000 0.500 0.000
2 La 0.000 0.000 0.500
3 La 0.500 0.000 0.000
4 In 0.500 0.500 0.500
5 Cd 0.000 0.000 0.000

---

Material: LiTlMo2
Method: DFT, GGA-PBE
State: optimized geometry

Energy above the lowest structure with this stoichiometry   551 meV per atom
Energy of formation   3.34 eV per formula unit
Theoretical density   9.6 g/cm3
Final energy   -22.6 eV/cell
Total magnetic moment   0.00 Bohr magnetons per cell

a b c (Å): 2.788 2.788 8.953
angles (deg): 90.00 90.00 90.00
Positions (direct):
1 Mo 0.000 0.000 0.511
2 Tl 0.500 0.500 0.250
3 Li 0.500 0.500 0.750
4 Mo 0.000 0.000 0.989

---

Material: Ba2ErSnSe5
Method: DFT, GGA-PBE
State: optimized geometry

Theoretical density   5.7 g/cm3
Final energy   -87.3 eV/cell
Total magnetic moment   0.00 Bohr magnetons per cell

a b c (Å): 4.459 9.657 13.387
angles (deg): 90.00 90.00 103.35
Positions (direct):
1 Sn 0.454 0.908 0.449
2 Se 0.358 0.716 0.000
3 Se 0.287 0.575 0.656
4 Ba 0.135 0.270 0.312
5 Er 0.212 0.424 0.020
6 Se 0.316 0.632 0.377
7 Ba 0.115 0.230 0.682
8 Se 0.713 0.425 0.156
9 Se 0.684 0.368 0.877
10 Ba 0.885 0.770 0.182
11 Se 0.946 0.891 0.562
12 Ba 0.865 0.730 0.812
13 Se 0.642 0.284 0.500
14 Er 0.788 0.576 0.520
15 Se 0.054 0.109 0.062
16 Se 0.494 0.988 0.766
17 Sn 0.546 0.092 0.949
18 Se 0.506 0.012 0.266

---

Material: Tb3Pr5Nd4
Method: DFT, GGA-PBE
State: optimized geometry

Energy above the lowest structure with this stoichiometry   187 meV per atom
Energy of formation   2.40 eV per formula unit
Theoretical density   6.8 g/cm3
Final energy   -54.5 eV/cell
Total magnetic moment   0.00 Bohr magnetons per cell

a b c (Å): 6.065 8.808 9.904
angles (deg): 106.17 72.17 69.86
Positions (direct):
1 Pr 0.627 0.948 0.798
2 Nd 0.141 0.776 0.941
3 Pr 0.373 0.052 0.202
4 Tb 0.000 0.500 0.500
5 Tb 0.518 0.690 0.273
6 Pr 0.500 0.500 0.500
7 Pr 0.216 0.457 0.112
8 Nd 0.859 0.224 0.059
9 Pr 0.784 0.543 0.888
10 Nd 0.839 0.944 0.379
11 Tb 0.482 0.310 0.727
12 Nd 0.161 0.056 0.621

---

Material: KCrN
Method: DFT, GGA-PBE
State: optimized geometry

Energy above the lowest structure with this stoichiometry   288 meV per atom
Theoretical density   3.3 g/cm3
Final energy   -18.9 eV/cell
Total magnetic moment   1.99 Bohr magnetons per cell

a b c (Å): 3.193 3.196 5.907
angles (deg): 90.31 90.00 119.97
Site moments in Bohr magnetons follow the coordinates.
Positions (direct):
1 K 0.973 0.945 0.979  -0.01
2 N 0.309 0.618 0.370  -0.15
3 Cr 0.642 0.285 0.445  2.03

---

Material: ZnIr2Os
Method: DFT, GGA-PBE
State: optimized geometry

Energy of formation   0.18 eV per formula unit
Theoretical density   18.5 g/cm3
Final energy   -30.0 eV/cell
Total magnetic moment   0.00 Bohr magnetons per cell

a b c (Å): 4.728 4.728 2.732
angles (deg): 90.00 90.00 109.72
Positions (direct):
1 Zn 0.000 0.500 0.500
2 Ir 0.500 0.500 0.000
3 Os 0.500 0.000 0.500
4 Ir 0.000 0.000 0.000